Record 1
The following is a PBE calculation of crystalline HgRuSe2 at its relaxed geometry, from Alexandria.

Results
Space-group type: No. 123
Mass density (g/cm³): 8.7
Calculated total energy (eV per atom): -4.111
Raw formation energy (meV per atom): 26

Unit cell a=3.064 b=3.064 c=9.383 alpha=90.00 beta=90.00 gamma=90.04
Element x y z (fractional)
Hg: 0.500 0.500 0.250
Ru: 0.500 0.500 0.750
Se: 0.000 0.000 0.914
Se: 0.000 0.000 0.586

---

Record 2
The following is a PBE calculation of crystalline NaTe2Pd at its relaxed geometry, from Alexandria.

Results
Space-group type: No. 166
Excess energy over the best structure of this formula in the dataset (eV/atom): 0.1332
Mass density (g/cm³): 5.0
Calculated total energy (eV per atom): -3.520
Raw formation energy (meV per atom): -321

Unit cell a=4.077 b=4.077 c=9.112 alpha=77.07 beta=77.07 gamma=60.00
Element x y z (fractional)
Na: 0.000 0.000 0.000
Te: 0.114 0.114 0.659
Te: 0.886 0.886 0.341
Pd: 0.500 0.500 0.500

---

Record 3
The following is a PBE calculation of crystalline Ba2CaSn2P4 at its relaxed geometry, from Alexandria.

Results
Space-group type: No. 12
Mass density (g/cm³): 4.4
Calculated total energy (eV per atom): -4.591
Formation energy (eV per atom): -0.65

Unit cell a=4.780 b=8.061 c=7.239 alpha=105.98 beta=90.00 gamma=107.24
Element x y z (fractional)
Ba: 0.868 0.736 0.431
Ba: 0.132 0.264 0.569
Ca: 0.000 0.000 0.000
Sn: 0.334 0.668 0.979
Sn: 0.666 0.332 0.021
P: 0.794 0.587 0.817
P: 0.206 0.413 0.183
P: 0.478 0.956 0.262
P: 0.522 0.044 0.738

---

Record 4
The following is a PBE calculation of crystalline AcScCuSe4 at its relaxed geometry, from Alexandria.

Results
Space-group type: No. 11
Mass density (g/cm³): 6.5
Calculated total energy (eV per atom): -5.350
Raw formation energy (meV per atom): -1282

Unit cell a=6.982 b=5.975 c=8.372 alpha=90.00 beta=106.89 gamma=90.00
Element x y z (fractional)
Ac: 0.754 0.750 0.935
Ac: 0.246 0.250 0.065
Sc: 0.715 0.750 0.428
Sc: 0.285 0.250 0.572
Cu: 0.246 0.750 0.315
Cu: 0.754 0.250 0.685
Se: 0.025 0.511 0.722
Se: 0.975 0.011 0.278
Se: 0.975 0.489 0.278
Se: 0.025 0.989 0.722
Se: 0.434 0.750 0.121
Se: 0.566 0.250 0.879
Se: 0.441 0.750 0.599
Se: 0.559 0.250 0.401

---

Record 5
The following is a PBE calculation of crystalline PdSe2I at its relaxed geometry, from Alexandria.

Results
Space-group type: No. 122
Excess energy over the best structure of this formula in the dataset (eV/atom): 0.3558
Mass density (g/cm³): 6.0
Calculated total energy (eV per atom): -3.259
Raw formation energy (meV per atom): 169

Unit cell a=7.178 b=7.178 c=6.595 alpha=57.03 beta=57.03 gamma=90.00
Element x y z (fractional)
I: 0.000 0.000 0.000
I: 0.750 0.250 0.500
Se: 0.557 0.125 0.250
Se: 0.193 0.625 0.250
Se: 0.375 0.443 0.750
Se: 0.875 0.807 0.750
Pd: 0.500 0.500 0.000
Pd: 0.250 0.750 0.500

---

Record 6
The following is a PBE calculation of crystalline Sr3Pd4Au4 at its relaxed geometry, from Alexandria.

Results
Space-group type: No. 217
Mass density (g/cm³): 9.0
Calculated total energy (eV per atom): -4.050
Formation energy (eV per atom): -0.51

Unit cell a=7.069 b=7.069 c=7.069 alpha=109.47 beta=109.47 gamma=109.47
Element x y z (fractional)
Sr: 0.500 0.500 0.000
Sr: 0.500 0.000 0.500
Sr: 0.000 0.500 0.500
Pd: 0.000 0.239 0.000
Pd: 0.000 0.000 0.239
Pd: 0.239 0.000 0.000
Pd: 0.761 0.761 0.761
Au: 0.000 0.604 0.000
Au: 0.604 0.000 0.000
Au: 0.000 0.000 0.604
Au: 0.396 0.396 0.396

---

Record 7
The following is a PBE calculation of crystalline NiGe2Cl at its relaxed geometry, from Alexandria.

Results
Space-group type: No. 122
Excess energy over the best structure of this formula in the dataset (eV/atom): 0.0000
Mass density (g/cm³): 4.1
Calculated total energy (eV per atom): -4.168
Raw formation energy (meV per atom): 48

Unit cell a=5.661 b=5.661 c=7.198 alpha=66.84 beta=66.84 gamma=90.00
Element x y z (fractional)
Ni: 0.000 0.000 0.000
Ni: 0.750 0.250 0.500
Ge: 0.721 0.125 0.250
Ge: 0.029 0.625 0.250
Ge: 0.375 0.279 0.750
Ge: 0.875 0.971 0.750
Cl: 0.500 0.500 0.000
Cl: 0.250 0.750 0.500

---

Record 8
The following is a PBE calculation of crystalline Mn2AgP at its relaxed geometry, from Alexandria.

Results
Space-group type: No. 119
Mass density (g/cm³): 6.9
Calculated total energy (eV per atom): -6.394
Formation energy (eV per atom): 0.26

Unit cell a=5.050 b=5.050 c=5.050 alpha=136.75 beta=136.75 gamma=62.82
Element x y z (fractional)
Ag: 0.750 0.250 0.500
Mn: 0.000 0.000 0.000
Mn: 0.250 0.750 0.500
P: 0.500 0.500 0.000

---

Record 9
The following is a PBE calculation of crystalline Li5TmIn6 at its relaxed geometry, from Alexandria.

Results
Space-group type: No. 10
Mass density (g/cm³): 5.9
Calculated total energy (eV per atom): -2.846
Formation energy (eV per atom): -0.31

Unit cell a=4.754 b=7.339 c=7.572 alpha=90.00 beta=71.85 gamma=90.00
Element x y z (fractional)
Tm: 0.000 0.000 0.000
Li: 0.672 0.500 0.657
Li: 0.333 0.000 0.335
Li: 0.000 0.500 0.000
Li: 0.667 0.000 0.665
Li: 0.328 0.500 0.343
In: 0.828 0.741 0.343
In: 0.828 0.259 0.343
In: 0.500 0.279 0.000
In: 0.500 0.721 0.000
In: 0.172 0.741 0.657
In: 0.172 0.259 0.657

---

Record 10
The following is a PBE calculation of crystalline Sr7Br6 at its relaxed geometry, from Alexandria.

Results
Space-group type: No. 166
Mass density (g/cm³): 2.6
Calculated total energy (eV per atom): -2.688
Raw formation energy (meV per atom): -1010

Unit cell a=14.485 b=14.485 c=14.485 alpha=30.67 beta=30.67 gamma=30.67
Element x y z (fractional)
Sr: 0.075 0.580 0.580
Sr: 0.580 0.075 0.580
Sr: 0.580 0.580 0.075
Sr: 0.925 0.420 0.420
Sr: 0.420 0.420 0.925
Sr: 0.420 0.925 0.420
Sr: 0.500 0.500 0.500
Br: 0.078 0.078 0.078
Br: 0.922 0.922 0.922
Br: 0.201 0.201 0.201
Br: 0.799 0.799 0.799
Br: 0.360 0.360 0.360
Br: 0.640 0.640 0.640

---

Record 11
The following is a PBE calculation of crystalline ScCoBr2 at its relaxed geometry, from Alexandria.

Results
Space-group type: No. 47
Excess energy over the best structure of this formula in the dataset (eV/atom): 0.5708
Mass density (g/cm³): 5.4
Calculated total energy (eV per atom): -4.286
Raw formation energy (meV per atom): -91

Unit cell a=3.539 b=5.693 c=4.048 alpha=90.00 beta=90.00 gamma=90.00
Element x y z (fractional)
Br: 0.000 0.000 0.000
Br: 0.500 0.500 0.000
Co: 0.500 0.000 0.500
Sc: 0.000 0.500 0.500

---

Record 12
The following is a PBE calculation of crystalline Rb2SiMoIr at its relaxed geometry, from Alexandria.

Results
Space-group type: No. 123
Mass density (g/cm³): 3.7
Calculated total energy (eV per atom): -3.660
Raw formation energy (meV per atom): 1750

Unit cell a=6.733 b=4.761 c=6.733 alpha=90.00 beta=90.00 gamma=90.00
Element x y z (fractional)
Mo: 0.000 0.000 0.000
Ir: 0.500 0.500 0.500
Si: 0.000 0.500 0.000
Rb: 0.000 0.000 0.500
Rb: 0.500 0.000 0.000

---

Record 13
The following is a PBE calculation of crystalline La3ErTe6 at its relaxed geometry, from Alexandria.

Results
Space-group type: No. 12
Excess energy over the best structure of this formula in the dataset (eV/atom): 0.1032
Mass density (g/cm³): 5.7
Calculated total energy (eV per atom): -5.201
Raw formation energy (meV per atom): -1382

Unit cell a=8.007 b=8.157 c=8.157 alpha=61.47 beta=62.02 gamma=62.02
Element x y z (fractional)
La: 0.304 0.249 0.249
La: 0.696 0.751 0.751
La: 0.000 0.000 0.000
Er: 0.500 0.500 0.500
Te: 0.343 0.167 0.662
Te: 0.657 0.338 0.833
Te: 0.657 0.833 0.338
Te: 0.343 0.662 0.167
Te: 0.104 0.741 0.741
Te: 0.896 0.259 0.259

---

Record 14
The following is a PBE calculation of crystalline ScIn2Au2 at its relaxed geometry, from Alexandria.

Results
Space-group type: No. 127
Excess energy over the best structure of this formula in the dataset (eV/atom): 0.1636
Mass density (g/cm³): 10.0
Calculated total energy (eV per atom): -3.990
Formation energy (eV per atom): -0.32

Unit cell a=7.375 b=7.375 c=4.079 alpha=90.00 beta=90.00 gamma=90.00
Element x y z (fractional)
Sc: 0.000 0.000 0.000
Sc: 0.500 0.500 0.000
Au: 0.366 0.866 0.000
Au: 0.866 0.634 0.000
Au: 0.634 0.134 0.000
Au: 0.134 0.366 0.000
In: 0.175 0.675 0.500
In: 0.675 0.825 0.500
In: 0.825 0.325 0.500
In: 0.325 0.175 0.500

---

Record 15
The following is a PBE calculation of crystalline CeY5Ru6 at its relaxed geometry, from Alexandria.

Results
Space-group type: No. 12
Mass density (g/cm³): 8.3
Calculated total energy (eV per atom): -8.166
Formation energy (eV per atom): -0.34

Unit cell a=4.867 b=8.319 c=8.319 alpha=119.50 beta=106.94 gamma=106.94
Element x y z (fractional)
Y: 0.500 0.172 0.828
Y: 0.000 0.335 0.665
Y: 0.500 0.500 0.500
Y: 0.000 0.665 0.335
Y: 0.500 0.828 0.172
Ru: 0.241 0.080 0.402
Ru: 0.759 0.598 0.920
Ru: 0.738 0.237 0.237
Ru: 0.262 0.763 0.763
Ru: 0.241 0.402 0.080
Ru: 0.759 0.920 0.598
Ce: 0.000 0.000 0.000

---

Record 16
The following is a PBE calculation of crystalline TbReC2 at its relaxed geometry, from Alexandria.

Results
Space-group type: No. 166
Excess energy over the best structure of this formula in the dataset (eV/atom): 0.2321
Mass density (g/cm³): 12.3
Calculated total energy (eV per atom): -8.818
Formation energy (eV per atom): 0.06

Unit cell a=3.234 b=3.234 c=5.804 alpha=73.82 beta=73.82 gamma=60.00
Element x y z (fractional)
Re: 0.000 0.000 0.000
C: 0.264 0.264 0.209
C: 0.736 0.736 0.791
Tb: 0.500 0.500 0.500

---

Record 17
The following is a PBE calculation of crystalline PmPrNd2Tl2 at its relaxed geometry, from Alexandria.

Results
Space-group type: No. 26
Mass density (g/cm³): 8.6
Calculated total energy (eV per atom): -4.240
Formation energy (eV per atom): -0.27

Unit cell a=5.298 b=6.937 c=10.348 alpha=90.00 beta=90.00 gamma=90.00
Element x y z (fractional)
Pm: 0.500 0.189 0.685
Pm: 0.500 0.689 0.315
Pr: 0.000 0.960 0.457
Pr: 0.000 0.460 0.543
Nd: 0.500 0.054 0.044
Nd: 0.000 0.326 0.182
Nd: 0.500 0.554 0.956
Nd: 0.000 0.826 0.818
Tl: 0.000 0.297 0.862
Tl: 0.500 0.219 0.364
Tl: 0.000 0.797 0.138
Tl: 0.500 0.719 0.636

---

Record 18
The following is a PBE calculation of crystalline Cs7NaHg2 at its relaxed geometry, from Alexandria.

Results
Space-group type: No. 139
Mass density (g/cm³): 3.0
Calculated total energy (eV per atom): -0.867
Formation energy (eV per atom): -0.08

Unit cell a=6.753 b=6.753 c=17.146 alpha=101.36 beta=101.36 gamma=90.00
Element x y z (fractional)
Cs: 0.109 0.609 0.219
Cs: 0.391 0.891 0.781
Cs: 0.609 0.109 0.219
Cs: 0.500 0.500 0.000
Cs: 0.750 0.250 0.500
Cs: 0.891 0.391 0.781
Cs: 0.250 0.750 0.500
Na: 0.000 0.000 0.000
Hg: 0.677 0.677 0.355
Hg: 0.323 0.323 0.645

---

Record 19
The following is a PBE calculation of crystalline Li2Pd3Pt4 at its relaxed geometry, from Alexandria.

Results
Space-group type: No. 12
Mass density (g/cm³): 13.9
Calculated total energy (eV per atom): -5.120
Formation energy (eV per atom): -0.28

Unit cell a=3.892 b=4.806 c=8.166 alpha=74.43 beta=76.21 gamma=66.11
Element x y z (fractional)
Li: 0.337 0.106 0.219
Li: 0.663 0.894 0.781
Pd: 0.328 0.786 0.559
Pd: 0.000 0.000 0.000
Pd: 0.672 0.214 0.441
Pt: 0.666 0.559 0.109
Pt: 0.994 0.343 0.669
Pt: 0.006 0.657 0.331
Pt: 0.334 0.441 0.891

---

Record 20
The following is a PBE calculation of crystalline SrReRu2 at its relaxed geometry, from Alexandria.

Results
Space-group type: No. 47
Excess energy over the best structure of this formula in the dataset (eV/atom): 0.0000
Mass density (g/cm³): 10.6
Calculated total energy (eV per atom): -7.732
Formation energy (eV per atom): 0.44

Unit cell a=3.109 b=3.071 c=8.376 alpha=68.44 beta=90.00 gamma=90.00
Element x y z (fractional)
Re: 0.500 0.750 0.750
Ru: 0.000 0.061 0.938
Ru: 0.000 0.439 0.562
Sr: 0.500 0.250 0.250